No. 1
# LaSc2Au, PBEsol geometry, DFT meta-GGA SCAN
data_LaSc2Au
_cell_length_a 7.202
_cell_length_b 7.202
_cell_length_c 7.202
_cell_angle_alpha 90.00
_cell_angle_beta 90.00
_cell_angle_gamma 90.00
_space_group_name_H-M_alt 'F -4 3 m'
_space_group_IT_number 216
_space_group_name_Hall 'F -4 2 3'
loop_
_atom_site_label
_atom_site_type_symbol
_atom_site_fract_x
_atom_site_fract_y
_atom_site_fract_z
_atom_site_occupancy
La1 La 0.000 0.000 0.000 1
Sc1 Sc 0.000 0.000 0.500 1
Sc2 Sc 0.250 0.250 0.750 1
Au1 Au 0.250 0.250 0.250 1
# Formation energy (meV per atom): -280
# Energy relative to the lowest polymorph listed for this composition (meV/atom): 171



No. 2
# LaScAu2, PBEsol geometry, DFT meta-GGA SCAN
data_LaScAu2
_cell_length_a 5.007
_cell_length_b 5.007
_cell_length_c 3.558
_cell_angle_alpha 90.00
_cell_angle_beta 90.00
_cell_angle_gamma 90.00
_space_group_name_H-M_alt 'P 4/m m m'
_space_group_IT_number 123
_space_group_name_Hall '-P 4 2'
loop_
_atom_site_label
_atom_site_type_symbol
_atom_site_fract_x
_atom_site_fract_y
_atom_site_fract_z
_atom_site_occupancy
La1 La 0.000 0.000 0.000 1
Sc1 Sc 0.500 0.500 0.000 1
Au1 Au 0.000 0.500 0.500 1
# Formation energy (meV per atom): -926



No. 3
# La2AuSe, PBEsol geometry, DFT meta-GGA SCAN
data_La2AuSe
_cell_length_a 4.265
_cell_length_b 4.265
_cell_length_c 6.223
_cell_angle_alpha 90.00
_cell_angle_beta 90.00
_cell_angle_gamma 90.00
_space_group_name_H-M_alt 'P 4/m m m'
_space_group_IT_number 123
_space_group_name_Hall '-P 4 2'
loop_
_atom_site_label
_atom_site_type_symbol
_atom_site_fract_x
_atom_site_fract_y
_atom_site_fract_z
_atom_site_occupancy
La1 La 0.000 0.000 0.000 1
La2 La 0.500 0.500 0.500 1
Au1 Au 0.000 0.000 0.500 1
Se1 Se 0.500 0.500 0.000 1
# Energy relative to the lowest polymorph listed for this composition (meV/atom): 0



No. 4
# LaAu2Se, PBEsol geometry, DFT meta-GGA SCAN
data_LaAu2Se
_cell_length_a 5.758
_cell_length_b 5.862
_cell_length_c 5.423
_cell_angle_alpha 90.00
_cell_angle_beta 90.00
_cell_angle_gamma 90.00
_space_group_name_H-M_alt 'C m m m'
_space_group_IT_number 65
_space_group_name_Hall '-C 2 2'
loop_
_atom_site_label
_atom_site_type_symbol
_atom_site_fract_x
_atom_site_fract_y
_atom_site_fract_z
_atom_site_occupancy
La1 La 0.000 0.000 0.000 1
Au1 Au 0.000 0.255 0.500 1
Se1 Se 0.000 0.500 0.000 1
# Electronic total energy (eV/atom): -51.350



No. 5
# LaAuSe2, PBEsol geometry, DFT meta-GGA SCAN
data_LaAuSe2
_cell_length_a 3.965
_cell_length_b 3.965
_cell_length_c 6.074
_cell_angle_alpha 90.00
_cell_angle_beta 90.00
_cell_angle_gamma 90.00
_space_group_name_H-M_alt 'P 4/m m m'
_space_group_IT_number 123
_space_group_name_Hall '-P 4 2'
loop_
_atom_site_label
_atom_site_type_symbol
_atom_site_fract_x
_atom_site_fract_y
_atom_site_fract_z
_atom_site_occupancy
La1 La 0.000 0.000 0.000 1
Au1 Au 0.000 0.000 0.500 1
Se1 Se 0.500 0.500 0.220 1
# Energy relative to the lowest polymorph listed for this composition (meV/atom): 210



No. 6
# LaAuSe2, PBEsol geometry, DFT meta-GGA SCAN
data_LaAuSe2
_cell_length_a 3.820
_cell_length_b 4.764
_cell_length_c 4.724
_cell_angle_alpha 90.00
_cell_angle_beta 90.10
_cell_angle_gamma 90.00
_space_group_name_H-M_alt 'P 1 2/m 1'
_space_group_IT_number 10
loop_
_space_group_symop_operation_xyz
'x,y,z'
'-x,-y,-z'
'-x,y,-z'
'x,-y,z'
loop_
_atom_site_label
_atom_site_type_symbol
_atom_site_fract_x
_atom_site_fract_y
_atom_site_fract_z
_atom_site_occupancy
La1 La 0.000 0.000 0.000 1
Au1 Au 0.000 0.500 0.500 1
Se1 Se 0.500 0.000 0.500 1
Se2 Se 0.500 0.500 0.000 1
# Energy relative to the lowest polymorph listed for this composition (meV/atom): 0



No. 7
# LaAu3Se, PBEsol geometry, DFT meta-GGA SCAN
data_LaAu3Se
_cell_length_a 5.513
_cell_length_b 5.513
_cell_length_c 5.513
_cell_angle_alpha 90.00
_cell_angle_beta 90.00
_cell_angle_gamma 90.00
_space_group_name_H-M_alt 'P m -3 m'
_space_group_IT_number 221
_space_group_name_Hall '-P 4 2 3'
loop_
_atom_site_label
_atom_site_type_symbol
_atom_site_fract_x
_atom_site_fract_y
_atom_site_fract_z
_atom_site_occupancy
La1 La 0.000 0.000 0.000 1
Au1 Au 0.000 0.000 0.500 1
Se1 Se 0.500 0.500 0.500 1
# Electronic total energy (eV/atom): -53.553



No. 8
# La2AuSe, PBEsol geometry, DFT meta-GGA SCAN
data_La2AuSe
_cell_length_a 4.2070
_cell_length_b 4.2070
_cell_length_c 22.1353
_cell_angle_alpha 90.00
_cell_angle_beta 90.00
_cell_angle_gamma 120.00
_space_group_name_H-M_alt 'R -3 m'
_space_group_IT_number 166
_space_group_name_Hall '-R 3 2"'
loop_
_atom_site_label
_atom_site_type_symbol
_atom_site_fract_x
_atom_site_fract_y
_atom_site_fract_z
_atom_site_occupancy
La1 La 0.0000 0.0000 0.2488 1
Au1 Au 0.0000 0.0000 0.0000 1
Se1 Se 0.0000 0.0000 0.5000 1
# Energy relative to the lowest polymorph listed for this composition (meV/atom): 27